Below is crystalline NdBeGa2 at its relaxed geometry, with properties calculated at the PBE level.

```
data_NdBeGa2
_chemical_formula_sum 'Nd3 Be3 Ga6'
_space_group_name_H-M_alt 'R -3 m'
_space_group_IT_number 166
_space_group_name_Hall '-R 3 2"'
_cell_length_a 5.0206
_cell_length_b 5.0206
_cell_length_c 10.8520
_cell_angle_alpha 90.00
_cell_angle_beta 90.00
_cell_angle_gamma 120.00
loop_
_atom_site_label
_atom_site_type_symbol
_atom_site_fract_x
_atom_site_fract_y
_atom_site_fract_z
Nd1 Nd 0.0000 0.0000 0.0000
Be1 Be 0.0000 0.0000 0.5000
Ga1 Ga 0.0000 0.0000 0.2707
```

formation enthalpy at 0 K	-0.0329	eV/atom
energy	-14.679	eV/f.u.